# Tb2Pm6PrTm3

A relaxed structure of Tb2Pm6PrTm3 (GGA-PBE, Alexandria).

abc: 6.2470 6.2470 11.8616
angles: 95.02 95.02 120.00
Sites, in units of the cell vectors:
Pm: 0.7510 0.7510 0.2537
Pm: 0.4191 0.0850 0.2537
Pm: 0.5809 0.9150 0.7463
Tm: 0.8331 0.1669 0.5000
Pm: 0.9150 0.5809 0.7463
Tb: 0.3334 0.6666 0.0000
Pm: 0.0850 0.4191 0.2537
Pm: 0.2490 0.2490 0.7463
Tm: 0.5000 0.5000 0.5000
Pr: 0.0000 0.0000 0.0000
Tb: 0.6666 0.3334 0.0000
Tm: 0.1669 0.8331 0.5000

Output
symmetry = C2/m
ΔE_f = 0.02 eV/atom
DOS(E_F) = 1.195 states/eV/atom

# Li5Sb3Br12

A relaxed structure of Li5Sb3Br12 (GGA-PBE, Alexandria).

abc: 14.4141 14.4141 14.4141
angles: 109.47 109.47 109.47
Sites, in units of the cell vectors:
Sb: 0.3750 0.7500 0.6250
Br: 0.1399 0.7052 0.5328
Sb: 0.2500 0.1250 0.3750
Br: 0.2052 0.6724 0.0653
Sb: 0.6250 0.2500 0.3750
Br: 0.4347 0.1399 0.6071
Br: 0.4347 0.2948 0.3276
Li: 0.5000 0.5000 0.0000
Br: 0.2052 0.5328 0.6399
Li: 0.0000 0.0000 0.0000
Li: 0.6250 0.8750 0.2500
Br: 0.8601 0.2948 0.4672
Br: 0.7948 0.4672 0.3601
Sb: 0.6250 0.3750 0.7500
Br: 0.8276 0.8929 0.0328
Br: 0.3601 0.9672 0.7948
Li: 0.5000 0.0000 0.0000
Li: 0.0000 0.5000 0.0000
Br: 0.6399 0.0328 0.2052
Br: 0.6724 0.2052 0.5653
Br: 0.0653 0.1724 0.2052
Li: 0.0000 0.5000 0.5000
Br: 0.7052 0.5653 0.1724
Sb: 0.7500 0.8750 0.6250
Br: 0.5653 0.7052 0.6724
Br: 0.8601 0.5653 0.8929
Br: 0.1399 0.4347 0.1071
Li: 0.3750 0.2500 0.1250
Li: 0.2500 0.3750 0.6250
Br: 0.1724 0.0653 0.7052
Br: 0.9347 0.1071 0.6399
Li: 0.1250 0.7500 0.3750
Sb: 0.1250 0.8750 0.7500
Li: 0.0000 0.0000 0.5000
Br: 0.7948 0.3276 0.9347
Sb: 0.8750 0.7500 0.1250
Br: 0.9672 0.6071 0.1724
Li: 0.8750 0.2500 0.6250
Sb: 0.8750 0.1250 0.2500
Br: 0.8929 0.0653 0.8601
Br: 0.2948 0.8601 0.9672
Li: 0.1250 0.3750 0.2500
Sb: 0.7500 0.3750 0.1250
Br: 0.8929 0.8276 0.5328
Br: 0.0653 0.8929 0.3601
Br: 0.1071 0.9347 0.1399
Br: 0.9347 0.8276 0.7948
Br: 0.0328 0.3929 0.8276
Br: 0.6071 0.6399 0.4347
Sb: 0.1250 0.2500 0.8750
Br: 0.5328 0.3276 0.8929
Br: 0.3929 0.3601 0.5653
Br: 0.6399 0.6071 0.9347
Br: 0.1071 0.1724 0.4672
Br: 0.6071 0.9672 0.6724
Sb: 0.3750 0.6250 0.2500
Li: 0.7500 0.6250 0.3750
Sb: 0.2500 0.6250 0.8750
Br: 0.8276 0.9347 0.2948
Br: 0.3276 0.7948 0.4347
Li: 0.7500 0.1250 0.8750
Br: 0.5328 0.2052 0.1399
Br: 0.1724 0.1071 0.9672
Br: 0.3929 0.0328 0.3276
Br: 0.6724 0.4672 0.6071
Br: 0.5653 0.8601 0.3929
Br: 0.3276 0.5328 0.3929
Li: 0.8750 0.6250 0.7500
Br: 0.2948 0.4347 0.8276
Li: 0.5000 0.5000 0.5000
Br: 0.0328 0.6399 0.7052
Br: 0.4672 0.6724 0.1071
Li: 0.3750 0.1250 0.7500
Br: 0.9672 0.3601 0.2948
Br: 0.4672 0.7948 0.8601
Br: 0.7052 0.1399 0.0328
Li: 0.6250 0.7500 0.8750
Li: 0.2500 0.8750 0.1250
Li: 0.5000 0.0000 0.5000
Br: 0.3601 0.3929 0.0653

Output
symmetry = Ia-3d
raw formation energy = -0.88 eV/atom
DOS(E_F) = 0.059 states/eV/atom

# Y2NiMo

A relaxed structure of Y2NiMo (GGA-PBE, Alexandria).

abc: 5.7723 5.7723 5.1629
angles: 67.95 67.95 32.09
Sites, in units of the cell vectors:
Y: 0.0334 0.0334 0.9322
Mo: 0.4537 0.4537 0.4918
Y: 0.2325 0.2325 0.2843
Ni: 0.7804 0.7804 0.7917

Output
symmetry = Cm
ΔE_f = 0.13 eV/atom
DOS(E_F) = 0.800 states/eV/atom
polymorph energy (0 for the lowest one) = 95 meV per atom

# CrPbS2

A relaxed structure of CrPbS2 (GGA-PBE, Alexandria).

abc: 7.1245 3.8969 13.7688
angles: 90.00 90.00 90.00
Site moments in Bohr magnetons follow the coordinates.
Sites, in units of the cell vectors:
S: 0.0471 0.7500 0.2800  0.00
S: 0.4529 0.2500 0.7800  0.00
Cr: 0.0420 0.2500 0.5604  1.67
S: 0.9529 0.2500 0.7200  0.00
S: 0.3011 0.2500 0.0456  -0.06
Cr: 0.9580 0.7500 0.4396  1.67
Pb: 0.6999 0.7500 0.6564  -0.01
Cr: 0.4580 0.7500 0.0604  1.67
S: 0.6989 0.7500 0.9544  -0.06
Pb: 0.1999 0.7500 0.8436  0.00
Pb: 0.3001 0.2500 0.3436  -0.01
Cr: 0.5420 0.2500 0.9396  1.67
Pb: 0.8001 0.2500 0.1564  0.00
S: 0.8011 0.2500 0.4544  -0.06
S: 0.1989 0.7500 0.5456  -0.06
S: 0.5471 0.7500 0.2200  0.00

Output
symmetry = Pnma
raw formation energy = -0.39 eV/atom
DOS(E_F) = 0.304 states/eV/atom

# LiNiRh2

A relaxed structure of LiNiRh2 (GGA-PBE, Alexandria).

abc: 8.7358 8.7358 8.7358
angles: 17.69 17.69 17.69
Site moments in Bohr magnetons follow the coordinates.
Sites, in units of the cell vectors:
Rh: 0.0026 0.0026 0.0026  0.75
Rh: 0.4974 0.4974 0.4974  0.75
Li: 0.2500 0.2500 0.2500  -0.01
Ni: 0.7500 0.7500 0.7500  0.98

Output
symmetry = R-3m
ΔE_f = 0.00 eV/atom
DOS(E_F) = 1.544 states/eV/atom
polymorph energy (0 for the lowest one) = 66 meV per atom

# Re4TcIr

A relaxed structure of Re4TcIr (GGA-PBE, Alexandria).

abc: 5.1048 5.1048 5.1048
angles: 60.00 60.00 60.00
Sites, in units of the cell vectors:
Re: 0.8760 0.3747 0.3747
Tc: 0.7500 0.7500 0.7500
Ir: 0.0000 0.0000 0.0000
Re: 0.3747 0.3747 0.8760
Re: 0.3747 0.8760 0.3747
Re: 0.3747 0.3747 0.3747

Output
symmetry = F-43m
ΔE_f = 0.39 eV/atom
DOS(E_F) = 0.984 states/eV/atom
polymorph energy (0 for the lowest one) = 159 meV per atom

# Ca3TiO

A relaxed structure of Ca3TiO (GGA-PBE, Alexandria).

abc: 5.7396 5.7396 5.7396
angles: 90.00 90.00 90.00
Site moments in Bohr magnetons follow the coordinates.
Sites, in units of the cell vectors:
Ca: 0.0000 0.5000 0.0000  0.23
Ca: 0.0000 0.0000 0.5000  0.25
O: 0.5000 0.5000 0.5000  0.55
Ca: 0.5000 0.0000 0.0000  0.20
Ti: 0.0000 0.0000 0.0000  2.36

Output
symmetry = Pm-3m
raw formation energy = 0.94 eV/atom
DOS(E_F) = 0.429 states/eV/atom
polymorph energy (0 for the lowest one) = 1677 meV per atom

# CePd2Pt6

A relaxed structure of CePd2Pt6 (GGA-PBE, Alexandria).

abc: 6.2750 6.2750 6.2750
angles: 60.00 60.00 60.00
Sites, in units of the cell vectors:
Pt: 0.2854 0.7146 0.2854
Pt: 0.2854 0.2854 0.7146
Ce: 0.0000 0.0000 0.0000
Pd: 0.7500 0.7500 0.7500
Pt: 0.7146 0.2854 0.2854
Pd: 0.2500 0.2500 0.2500
Pt: 0.2854 0.7146 0.7146
Pt: 0.7146 0.2854 0.7146
Pt: 0.7146 0.7146 0.2854

Output
symmetry = Fm-3m
ΔE_f = 0.26 eV/atom
DOS(E_F) = 1.886 states/eV/atom

# SiOsSe2

A relaxed structure of SiOsSe2 (GGA-PBE, Alexandria).

abc: 8.1654 8.1654 8.1654
angles: 25.83 25.83 25.83
Sites, in units of the cell vectors:
Se: 0.8893 0.8893 0.8893
Se: 0.1107 0.1107 0.1107
Si: 0.0000 0.0000 0.0000
Os: 0.5000 0.5000 0.5000

Output
symmetry = R-3m
raw formation energy = 0.48 eV/atom
DOS(E_F) = 0.967 states/eV/atom

# FePd6W

A relaxed structure of FePd6W (GGA-PBE, Alexandria).

abc: 5.1861 5.1861 5.1861
angles: 89.35 89.35 89.35
Site moments in Bohr magnetons follow the coordinates.
Sites, in units of the cell vectors:
W: 0.0000 0.0000 0.0000  -0.18
Pd: 0.4506 0.8286 0.8286  0.14
Pd: 0.8286 0.8286 0.4506  0.14
Pd: 0.1714 0.5494 0.1714  0.14
Pd: 0.1714 0.1714 0.5494  0.14
Pd: 0.5494 0.1714 0.1714  0.14
Fe: 0.5000 0.5000 0.5000  3.20
Pd: 0.8286 0.4506 0.8286  0.14

Output
symmetry = R-3m
ΔE_f = 0.50 eV/atom
DOS(E_F) = 0.832 states/eV/atom
polymorph energy (0 for the lowest one) = 543 meV per atom